DFT (GGA+U) results for LiCoPO4 after structural relaxation.

- space-group type = Cmcm (63)
- distance to the lowest polymorph of the same formula (meV/atom) = 0

abc: 4.8901 4.8901 6.1699
angles: 90.00 90.00 112.70
Positions (direct):
1 Li 0.6731 0.3269 0.7500
2 Co 0.0000 0.0000 0.0000
3 O 0.7541 0.2459 0.0446
4 O 0.7541 0.2459 0.4554
5 O 0.2459 0.7541 0.9554
6 O 0.6990 0.7602 0.7500
7 O 0.2459 0.7541 0.5446
8 Li 0.3269 0.6731 0.2500
9 Co 0.0000 0.0000 0.5000
10 O 0.3010 0.2398 0.2500
11 P 0.6482 0.3518 0.2500
12 O 0.2398 0.3010 0.7500
13 P 0.3518 0.6482 0.7500
14 O 0.7602 0.6990 0.2500